Version A
The following is a DFT calculation (PBE) of crystalline Sb3Au at its relaxed geometry.

Summary:
V in Å³ per atom: 26.60
Calculated density in g cm⁻³: 8.78

Cell: 7.331 7.331 7.331 Å, 33.41 33.41 33.41°
Positions (direct):
Sb 0.741 0.741 0.741
Sb 0.500 0.500 0.500
Sb 0.259 0.259 0.259
Au 0.000 0.000 0.000

=====

Version B
The following is a DFT calculation (PBE) of crystalline Sb3Au at its relaxed geometry.

Summary:
V in Å³ per atom: 26.58
Calculated density in g cm⁻³: 8.78

Cell: 4.220 8.419 17.958 Å, 90.00 90.00 90.00°
Positions (direct):
Au 0.497 0.250 0.750
Au 0.503 0.250 0.413
Au 0.503 0.250 0.087
Au 0.503 0.750 0.250
Au 0.497 0.750 0.913
Au 0.497 0.750 0.587
Sb 0.003 0.020 0.416
Sb 0.003 0.020 0.084
Sb 0.997 0.030 0.750
Sb 0.003 0.970 0.250
Sb 0.997 0.980 0.916
Sb 0.997 0.980 0.584
Sb 0.503 0.250 0.250
Sb 0.498 0.250 0.929
Sb 0.498 0.250 0.571
Sb 0.003 0.480 0.416
Sb 0.003 0.480 0.084
Sb 0.997 0.470 0.750
Sb 0.003 0.530 0.250
Sb 0.997 0.520 0.916
Sb 0.997 0.520 0.584
Sb 0.497 0.750 0.750
Sb 0.502 0.750 0.429
Sb 0.502 0.750 0.071

=====

Stability, highest: version A

=====

Version A
The following is a DFT calculation (PBE) of crystalline Sb3Au at its relaxed geometry.

Summary:
V in Å³ per atom: 25.10
Calculated density in g cm⁻³: 9.30

Cell: 3.836 3.836 6.822 Å, 90.00 90.00 90.00°
Positions (direct):
Au 0.000 0.000 0.000
Sb 0.500 0.500 0.221
Sb 0.000 0.000 0.500
Sb 0.500 0.500 0.779

=====

Version B
The following is a DFT calculation (PBE) of crystalline Sb3Au at its relaxed geometry.

Summary:
V in Å³ per atom: 26.81
Calculated density in g cm⁻³: 8.71

Cell: 6.823 6.823 6.823 Å, 151.63 134.39 54.59°
Positions (direct):
Au 0.992 0.000 0.992
Sb 0.540 0.500 0.040
Sb 0.966 0.315 0.651
Sb 0.336 0.685 0.651

=====

Stability, highest: version B

=====

Version A
The following is a DFT calculation (PBE) of crystalline Sb3Au at its relaxed geometry.

Summary:
V in Å³ per atom: 27.44
Calculated density in g cm⁻³: 8.50

Cell: 5.550 6.759 6.759 Å, 120.00 90.00 90.00°
Positions (direct):
Sb 0.474 0.274 0.000
Sb 0.974 0.726 0.000
Sb 0.974 0.000 0.726
Sb 0.474 0.726 0.726
Sb 0.474 0.000 0.274
Sb 0.974 0.274 0.274
Au 0.724 0.333 0.667
Au 0.224 0.667 0.333

=====

Version B
The following is a DFT calculation (PBE) of crystalline Sb3Au at its relaxed geometry.

Summary:
V in Å³ per atom: 25.08
Calculated density in g cm⁻³: 9.31

Cell: 3.242 3.242 9.996 Å, 90.00 90.00 107.24°
Positions (direct):
Au 0.000 0.000 0.000
Sb 0.500 0.500 0.781
Sb 0.000 0.000 0.500
Sb 0.500 0.500 0.219

=====

Stability, highest: version A

=====

Version A
The following is a DFT calculation (PBE) of crystalline Sb3Au at its relaxed geometry.

Summary:
V in Å³ per atom: 25.66
Calculated density in g cm⁻³: 9.10

Cell: 5.899 5.899 5.899 Å, 90.00 90.00 90.00°
Positions (direct):
Sb 0.750 0.500 0.000
Sb 0.250 0.500 0.000
Sb 0.000 0.750 0.500
Sb 0.000 0.250 0.500
Sb 0.500 0.000 0.250
Sb 0.500 0.000 0.750
Au 0.000 0.000 0.000
Au 0.500 0.500 0.500

=====

Version B
The following is a DFT calculation (PBE) of crystalline Sb3Au at its relaxed geometry.

Summary:
V in Å³ per atom: 25.05
Calculated density in g cm⁻³: 9.32

Cell: 5.213 5.213 5.213 Å, 60.00 60.00 60.00°
Positions (direct):
Au 0.000 0.000 0.000
Sb 0.250 0.250 0.250
Sb 0.500 0.500 0.500
Sb 0.750 0.750 0.750

=====

Stability, highest: version B